Entry 1:
VASP calculation (GGA-PBE) on a relaxed BeHgMo2 crystal.

Space group: No. 216
Final energy (eV/f.u.): -23.28

Cell: 4.4616 4.4616 4.4616 Å, 60.00 60.00 60.00°
Closest atoms and distances in Å follow each position.
Atoms (fractional coordinates):
Hg  0.2500  0.2500  0.2500  4 Be 2.73, 4 Mo 2.73
Mo  0.7500  0.7500  0.7500  4 Be 2.73, 4 Mo 2.73
Be  0.5000  0.5000  0.5000  4 Mo 2.73, 4 Hg 2.73
Mo  0.0000  0.0000  0.0000  4 Mo 2.73, 4 Hg 2.73

Entry 2:
VASP calculation (GGA-PBE) on a relaxed Be2HgMo crystal.

Space group: No. 216
Final energy (eV/f.u.): -15.48

Cell: 4.3542 4.3542 4.3542 Å, 60.00 60.00 60.00°
Closest atoms and distances in Å follow each position.
Atoms (fractional coordinates):
Hg  0.7500  0.7500  0.7500  4 Mo 2.67, 4 Be 2.67
Be  0.0000  0.0000  0.0000  4 Hg 2.67, 4 Be 2.67
Mo  0.5000  0.5000  0.5000  4 Hg 2.67, 4 Be 2.67
Be  0.2500  0.2500  0.2500  4 Mo 2.67, 4 Be 2.67

Entry 3:
VASP calculation (GGA-PBE) on a relaxed BeHgMoOs crystal.

Space group: No. 216
Final energy (eV/f.u.): -22.93

Cell: 4.3880 4.3880 4.3880 Å, 60.00 60.00 60.00°
Closest atoms and distances in Å follow each position.
Atoms (fractional coordinates):
Mo  0.5000  0.5000  0.5000  4 Be 2.69, 4 Hg 2.69
Be  0.7500  0.7500  0.7500  4 Mo 2.69, 4 Os 2.69
Hg  0.2500  0.2500  0.2500  4 Mo 2.69, 4 Os 2.69
Os  0.0000  0.0000  0.0000  4 Be 2.69, 4 Hg 2.69

Entry 4:
VASP calculation (GGA-PBE) on a relaxed BeHgMoOs crystal.

Space group: No. 216
Final energy (eV/f.u.): -23.92

Cell: 4.4068 4.4068 4.4068 Å, 60.00 60.00 60.00°
Closest atoms and distances in Å follow each position.
Atoms (fractional coordinates):
Mo  0.5000  0.5000  0.5000  4 Be 2.70, 4 Os 2.70
Be  0.7500  0.7500  0.7500  4 Mo 2.70, 4 Hg 2.70
Hg  0.0000  0.0000  0.0000  4 Be 2.70, 4 Os 2.70
Os  0.2500  0.2500  0.2500  4 Mo 2.70, 4 Hg 2.70